1.
A plane-wave DFT calculation with PBE-GGA was carried out for a geometry-optimized BeVTe structure.

Lattice parameters (Å, degrees): 8.273 4.065 6.968 90.00 105.74 90.00
Positions (direct):
Be (0.879, 0.000, 0.962)
Be (0.121, 0.000, 0.038)
Be (0.879, 0.500, 0.462)
Be (0.121, 0.500, 0.538)
Te (0.281, 0.000, 0.761)
Te (0.719, 0.000, 0.239)
Te (0.281, 0.500, 0.261)
Te (0.719, 0.500, 0.739)
V (0.933, 0.000, 0.644)
V (0.067, 0.000, 0.356)
V (0.933, 0.500, 0.144)
V (0.067, 0.500, 0.856)

Crystal system ... monoclinic
Total magnetization ... 0.00 μB/f.u.
Energy above the lowest structure with this stoichiometry ... 0.100 eV/atom
SG ... No. 12
ΔE_f (raw) ... -0.07 eV per atom



2.
A plane-wave DFT calculation with PBE-GGA was carried out for a geometry-optimized La2Pm4N structure.

Lattice parameters (Å, degrees): 4.990 4.990 9.681 75.06 75.06 90.00
Positions (direct):
N (0.000, 0.000, 0.000)
La (0.673, 0.673, 0.654)
La (0.327, 0.327, 0.346)
Pm (0.868, 0.868, 0.265)
Pm (0.132, 0.132, 0.735)
Pm (0.000, 0.500, 0.000)
Pm (0.500, 0.000, 0.000)

Crystal system ... tetragonal
Total magnetization ... 0.00 μB/f.u.
Energy above the lowest structure with this stoichiometry ... 0.133 eV/atom
SG ... No. 139
ΔE_f (raw) ... -0.25 eV per atom



3.
A plane-wave DFT calculation with PBE-GGA was carried out for a geometry-optimized CsTmCdTe3 structure.

Lattice parameters (Å, degrees): 4.511 8.961 11.806 90.00 90.00 104.58
Positions (direct):
Cs (0.751, 0.502, 0.750)
Cs (0.249, 0.498, 0.250)
Tm (0.000, 0.000, 0.000)
Tm (0.000, 0.000, 0.500)
Te (0.381, 0.762, 0.956)
Te (0.619, 0.238, 0.044)
Te (0.619, 0.238, 0.456)
Te (0.381, 0.762, 0.544)
Te (0.064, 0.129, 0.750)
Te (0.936, 0.871, 0.250)
Cd (0.462, 0.924, 0.750)
Cd (0.538, 0.076, 0.250)

Crystal system ... orthorhombic
Total magnetization ... 0.00 μB/f.u.
SG ... No. 63
ΔE_f (raw) ... -1.07 eV per atom



4.
A plane-wave DFT calculation with PBE-GGA was carried out for a geometry-optimized BaSr2Ca3 structure.

Lattice parameters (Å, degrees): 4.669 4.669 13.569 90.00 90.00 90.00
Positions (direct):
Ba (0.500, 0.500, 0.500)
Sr (0.500, 0.500, 0.837)
Sr (0.500, 0.500, 0.163)
Ca (0.000, 0.000, 0.000)
Ca (0.000, 0.000, 0.676)
Ca (0.000, 0.000, 0.324)

Crystal system ... tetragonal
Total magnetization ... 0.00 μB/f.u.
Energy above the lowest structure with this stoichiometry ... 0.000 eV/atom
SG ... No. 123
Formation energy from the elements ... 0.16 eV per formula unit